Entry 1:
A plane-wave DFT calculation with PBE was carried out for a geometry-optimized EuHoH structure.

Cell: 8.439 5.269 7.299 Å, 90.00 114.16 90.00°
Element x y z (fractional)
Eu1 0.138 0.242 0.441
Eu2 0.138 0.258 0.941
Eu3 0.862 0.742 0.059
Eu4 0.862 0.758 0.559
Ho1 0.397 0.745 0.820
Ho2 0.397 0.755 0.320
Ho3 0.603 0.245 0.680
Ho4 0.603 0.255 0.180
H1 0.385 0.514 0.067
H2 0.385 0.986 0.567
H3 0.615 0.014 0.433
H4 0.615 0.486 0.933

Output
Calculated density in Mg/m³: 7.13
Density of states at the Fermi level in states/eV/atom: 0.72
Energy above the lowest structure with this stoichiometry in meV/atom: 0
Space group: P2_1/c (14)



Entry 2:
A plane-wave DFT calculation with PBE was carried out for a geometry-optimized EuHo2H structure.

Cell: 3.529 3.529 28.606 Å, 90.00 90.00 120.00°
Element x y z (fractional)
Eu1 0.000 0.000 0.000
Eu2 0.333 0.667 0.667
Eu3 0.667 0.333 0.333
Ho1 0.000 0.000 0.121
Ho2 0.000 0.000 0.879
Ho3 0.333 0.667 0.546
Ho4 0.333 0.667 0.787
Ho5 0.667 0.333 0.213
Ho6 0.667 0.333 0.454
H1 0.000 0.000 0.500
H2 0.333 0.667 0.167
H3 0.667 0.333 0.833

Output
Calculated density in Mg/m³: 7.80
Density of states at the Fermi level in states/eV/atom: 0.95
Space group: R-3m (166)
E_tot in eV per atom: -5.726